Below is a relaxed structure of LiMnNiF6, with properties calculated at the PBE with a Hubbard U level.

Values from the calculation:
- Total energy: -44.30 eV per formula unit
- Size of the total moment: 4.0 μB/f.u.
- DOS at the Fermi energy: 0.00 states/eV/cell

CIF file:
```
data_LiMnNiF6
_symmetry_space_group_name_H-M 'P 42 n m'
_symmetry_Int_Tables_number 102
_symmetry_space_group_name_Hall 'P 4n -2n'
_cell_length_a 4.672
_cell_length_b 4.672
_cell_length_c 9.126
_cell_angle_alpha 90.00
_cell_angle_beta 90.00
_cell_angle_gamma 90.00
loop_
_atom_site_label
_atom_site_fract_x
_atom_site_fract_y
_atom_site_fract_z
Li1 0.000 0.000 0.000
Mn1 0.000 0.000 0.333
Ni1 0.000 0.000 0.669
F1 0.191 0.191 0.493
F2 0.194 0.194 0.175
F3 0.207 0.207 0.832
```